1.
Material: Cs2KLi2
Method: DFT, PBE-GGA
State: optimized geometry

Properties
DFT total energy   -1.19 eV per atom
Mass density   1.71 g cm⁻³
Polymorph energy (0 for the lowest one)   0 meV per atom
Density of states at the Fermi level   1.637 states/eV/atom
Energy of formation from the pure elements   0.1363 eV per atom

a = 4.5279 Å, b = 4.5279 Å, c = 15.4219 Å
α = 81.56°, β = 81.56°, γ = 90.00°
Fractional positions:
Cs 0.3656 0.3656 0.2689
Cs 0.6344 0.6344 0.7311
K 0.0000 0.0000 0.0000
Li 0.7500 0.2500 0.5000
Li 0.2500 0.7500 0.5000


2.
Material: PuP2Rh
Method: DFT, PBE-GGA
State: optimized geometry

Properties
DFT total energy   -8.97 eV per atom
Mass density   9.27 g cm⁻³
Density of states at the Fermi level   2.372 states/eV/atom
Energy of formation from the pure elements   -0.8412 eV per atom

a = 3.8888 Å, b = 3.8883 Å, c = 5.5685 Å
α = 110.44°, β = 110.44°, γ = 90.02°
Each line ends with the local moment (μB).
Fractional positions:
Pu 0.2213 0.8811 0.2281  4.91
P 0.8372 0.4973 0.4599  -0.06
P 0.6052 0.2653 0.9965  -0.06
Rh 0.4715 0.6309 0.7282  -0.15


3.
Material: Ac12Ge5H2
Method: DFT, PBE-GGA
State: optimized geometry

Properties
DFT total energy   -4.53 eV per atom
Mass density   7.62 g cm⁻³
Density of states at the Fermi level   0.941 states/eV/atom

a = 8.1039 Å, b = 9.7445 Å, c = 9.7227 Å
α = 103.99°, β = 90.00°, γ = 114.57°
Fractional positions:
Ac 0.9947 0.9894 0.1868
Ac 0.0904 0.6796 0.9120
Ac 0.5892 0.6796 0.9120
Ac 0.1050 0.7102 0.4320
Ac 0.6051 0.7102 0.4320
Ac 0.4963 0.9926 0.7716
Ac 0.5037 0.0074 0.2284
Ac 0.8950 0.2898 0.5680
Ac 0.3949 0.2898 0.5680
Ac 0.9096 0.3204 0.0880
Ac 0.4108 0.3204 0.0880
Ac 0.0053 0.0106 0.8132
Ge 0.2992 0.5985 0.6449
Ge 0.3132 0.6265 0.1567
Ge 0.0000 0.0000 0.5000
Ge 0.6868 0.3735 0.8433
Ge 0.7008 0.4015 0.3551
H 0.7594 0.0000 0.0000
H 0.2406 0.0000 0.0000


4.
Material: ScCr2Rh
Method: DFT, PBE-GGA
State: optimized geometry

Properties
DFT total energy   -7.99 eV per atom
Mass density   7.15 g cm⁻³
Polymorph energy (0 for the lowest one)   401 meV per atom
Density of states at the Fermi level   1.077 states/eV/atom
Energy of formation from the pure elements   0.2462 eV per atom

a = 2.7051 Å, b = 2.7051 Å, c = 7.9924 Å
α = 90.00°, β = 90.00°, γ = 89.88°
Fractional positions:
Cr 0.0000 0.0000 0.0259
Cr 0.0000 0.0000 0.4741
Rh 0.5000 0.5000 0.2500
Sc 0.5000 0.5000 0.7500


5.
Material: Ac7Hg2Pb2
Method: DFT, PBE-GGA
State: optimized geometry

Properties
DFT total energy   -3.49 eV per atom
Mass density   8.91 g cm⁻³
Density of states at the Fermi level   1.187 states/eV/atom
Energy of formation from the pure elements   -0.1454 eV per atom

a = 7.6189 Å, b = 8.1396 Å, c = 7.6189 Å
α = 90.00°, β = 108.38°, γ = 90.00°
Fractional positions:
Ac 0.9998 0.2843 0.5003
Ac 0.5003 0.7157 0.9998
Ac 0.0002 0.7157 0.4997
Ac 0.4997 0.2843 0.0002
Ac 0.0000 0.0000 0.0000
Ac 0.5002 0.7551 0.4998
Ac 0.4998 0.2449 0.5002
Hg 0.7182 0.0000 0.2818
Hg 0.2818 0.0000 0.7182
Pb 0.8228 0.5000 0.8228
Pb 0.1772 0.5000 0.1772


6.
Material: Y2Zr
Method: DFT, PBE-GGA
State: optimized geometry

Properties
DFT total energy   -7.07 eV per atom
Mass density   5.14 g cm⁻³
Polymorph energy (0 for the lowest one)   2 meV per atom
Density of states at the Fermi level   1.887 states/eV/atom
Energy of formation from the pure elements   0.0870 eV per atom

a = 3.4666 Å, b = 6.5726 Å, c = 8.1349 Å
α = 76.96°, β = 90.00°, γ = 74.71°
Fractional positions:
Y 0.0019 0.9961 0.0096
Y 0.6153 0.7694 0.7253
Y 0.3291 0.3417 0.6636
Y 0.9425 0.1150 0.3793
Zr 0.6729 0.6543 0.3228
Zr 0.2716 0.4568 0.0661


7.
Material: VZnRu3
Method: DFT, PBE-GGA
State: optimized geometry

Properties
DFT total energy   -6.56 eV per atom
Mass density   7.96 g cm⁻³
Polymorph energy (0 for the lowest one)   0 meV per atom
Density of states at the Fermi level   1.389 states/eV/atom
Energy of formation from the pure elements   1.0839 eV per atom

a = 4.4408 Å, b = 4.4408 Å, c = 4.4408 Å
α = 90.00°, β = 90.00°, γ = 90.00°
Fractional positions:
Ru 0.0000 0.5000 0.0000
Ru 0.0000 0.0000 0.5000
Ru 0.5000 0.0000 0.0000
Zn 0.5000 0.5000 0.5000
V 0.0000 0.0000 0.0000


8.
Material: YSb3Mo
Method: DFT, PBE-GGA
State: optimized geometry

Properties
DFT total energy   -5.64 eV per atom
Mass density   6.26 g cm⁻³
Polymorph energy (0 for the lowest one)   0 meV per atom
Density of states at the Fermi level   1.059 states/eV/atom

a = 5.2659 Å, b = 5.2659 Å, c = 5.2659 Å
α = 90.00°, β = 90.00°, γ = 90.00°
Fractional positions:
Y 0.5000 0.5000 0.5000
Sb 0.0000 0.5000 0.0000
Sb 0.0000 0.0000 0.5000
Sb 0.5000 0.0000 0.0000
Mo 0.0000 0.0000 0.0000


9.
Material: NbTlB2C
Method: DFT, PBE-GGA
State: optimized geometry

Properties
DFT total energy   -3.85 eV per atom
Mass density   5.96 g cm⁻³
Density of states at the Fermi level   1.077 states/eV/atom
Energy of formation from the pure elements   3.1557 eV per atom

a = 3.9509 Å, b = 5.9097 Å, c = 3.9509 Å
α = 90.00°, β = 90.00°, γ = 90.00°
Fractional positions:
C 0.5000 0.5000 0.5000
Tl 0.0000 0.0000 0.0000
B 0.0000 0.0000 0.5000
B 0.5000 0.0000 0.0000
Nb 0.0000 0.5000 0.0000


10.
Material: Ho4CuSe2
Method: DFT, PBE-GGA
State: optimized geometry

Properties
DFT total energy   -5.22 eV per atom
Mass density   8.31 g cm⁻³
Density of states at the Fermi level   0.660 states/eV/atom

a = 3.9200 Å, b = 6.7637 Å, c = 13.8783 Å
α = 90.00°, β = 90.00°, γ = 106.84°
Fractional positions:
Se 0.8594 0.7189 0.9360
Se 0.1406 0.2811 0.0640
Se 0.8594 0.7189 0.5640
Se 0.1406 0.2811 0.4360
Ho 0.2154 0.4309 0.6270
Ho 0.7846 0.5691 0.3730
Ho 0.7846 0.5691 0.1270
Ho 0.2154 0.4309 0.8730
Ho 0.9526 0.9052 0.7500
Ho 0.0474 0.0948 0.2500
Ho 0.5000 0.0000 0.0000
Ho 0.5000 0.0000 0.5000
Cu 0.3887 0.7775 0.2500
Cu 0.6113 0.2225 0.7500


11.
Material: Rb2Zn2Se3
Method: DFT, PBE-GGA
State: optimized geometry

Properties
DFT total energy   -3.05 eV per atom
Mass density   4.30 g cm⁻³
Polymorph energy (0 for the lowest one)   0 meV per atom
Density of states at the Fermi level   0.000 states/eV/atom

a = 7.1739 Å, b = 11.4081 Å, c = 11.4081 Å
α = 81.47°, β = 70.85°, γ = 70.85°
Fractional positions:
Rb 0.8605 0.0142 0.1917
Rb 0.3605 0.1917 0.0142
Rb 0.7500 0.2912 0.7088
Rb 0.7500 0.5673 0.4327
Rb 0.2500 0.4327 0.5673
Rb 0.2500 0.7088 0.2912
Rb 0.6395 0.8083 0.9858
Rb 0.1395 0.9858 0.8083
Zn 0.6527 0.3498 0.1950
Zn 0.6282 0.0781 0.5302
Zn 0.1527 0.1950 0.3498
Zn 0.1282 0.5302 0.0781
Zn 0.8718 0.4698 0.9219
Zn 0.8473 0.8050 0.6502
Zn 0.3718 0.9219 0.4698
Zn 0.3473 0.6502 0.8050
Se 0.7620 0.2513 0.3958
Se 0.7464 0.5474 0.1429
Se 0.2620 0.3958 0.2513
Se 0.2464 0.1429 0.5474
Se 0.8416 0.2560 0.9875
Se 0.1584 0.7440 0.0125
Se 0.7536 0.8571 0.4526
Se 0.7380 0.6042 0.7487
Se 0.3416 0.9875 0.2560
Se 0.2536 0.4526 0.8571
Se 0.2380 0.7487 0.6042
Se 0.6584 0.0125 0.7440


12.
Material: TcSnIr2O
Method: DFT, PBE-GGA
State: optimized geometry

Properties
DFT total energy   -6.95 eV per atom
Mass density   13.64 g cm⁻³
Density of states at the Fermi level   1.111 states/eV/atom

a = 4.3591 Å, b = 3.9535 Å, c = 4.3591 Å
α = 90.00°, β = 90.00°, γ = 90.00°
Fractional positions:
Ir 0.0000 0.0000 0.5000
Ir 0.5000 0.0000 0.0000
Sn 0.5000 0.5000 0.5000
O 0.0000 0.0000 0.0000
Tc 0.0000 0.5000 0.0000


13.
Material: DyTlHg4
Method: DFT, PBE-GGA
State: optimized geometry

Properties
DFT total energy   -1.56 eV per atom
Mass density   12.85 g cm⁻³
Polymorph energy (0 for the lowest one)   0 meV per atom
Density of states at the Fermi level   0.626 states/eV/atom
Energy of formation from the pure elements   -0.1968 eV per atom

a = 5.0954 Å, b = 6.6060 Å, c = 9.5891 Å
α = 69.48°, β = 90.00°, γ = 90.00°
Fractional positions:
Dy 0.7500 0.1276 0.2472
Dy 0.2500 0.8724 0.7528
Tl 0.7500 0.6178 0.2661
Tl 0.2500 0.3822 0.7339
Hg 0.2500 0.8123 0.4143
Hg 0.2500 0.9606 0.0813
Hg 0.7500 0.7234 0.5869
Hg 0.7500 0.5562 0.9203
Hg 0.7500 0.1877 0.5857
Hg 0.2500 0.2766 0.4131
Hg 0.7500 0.0394 0.9187
Hg 0.2500 0.4438 0.0797


14.
Material: LaGdZnGe
Method: DFT, PBE-GGA
State: optimized geometry

Properties
DFT total energy   -6.76 eV per atom
Mass density   7.28 g cm⁻³
Density of states at the Fermi level   0.770 states/eV/atom
Energy of formation from the pure elements   -0.5390 eV per atom

a = 5.1921 Å, b = 5.1921 Å, c = 5.1921 Å
α = 60.00°, β = 60.00°, γ = 60.00°
Each line ends with the local moment (μB).
Fractional positions:
Ge 0.2500 0.2500 0.2500  -0.05
Gd 0.0000 0.0000 0.0000  7.03
Zn 0.7500 0.7500 0.7500  -0.01
La 0.5000 0.5000 0.5000  0.03


15.
Material: VAgPd14
Method: DFT, PBE-GGA
State: optimized geometry

Properties
DFT total energy   -5.36 eV per atom
Mass density   11.14 g cm⁻³
Density of states at the Fermi level   1.663 states/eV/atom
Energy of formation from the pure elements   -0.0668 eV per atom

a = 5.6257 Å, b = 5.6257 Å, c = 7.7634 Å
α = 90.00°, β = 90.00°, γ = 90.00°
Each line ends with the local moment (μB).
Fractional positions:
V 0.8750 0.8750 0.5000  0.86
Ag 0.3750 0.3750 0.5000  0.00
Pd 0.8750 0.8750 0.0000  -0.04
Pd 0.3750 0.3750 0.0000  -0.08
Pd 0.8750 0.3750 0.5000  -0.07
Pd 0.8750 0.3750 0.0000  -0.10
Pd 0.3750 0.8750 0.5000  -0.07
Pd 0.3750 0.8750 0.0000  -0.10
Pd 0.6309 0.1191 0.2547  -0.08
Pd 0.6309 0.1191 0.7453  -0.08
Pd 0.1191 0.6309 0.2547  -0.08
Pd 0.1191 0.6309 0.7453  -0.08
Pd 0.6308 0.6308 0.2548  -0.08
Pd 0.6308 0.6308 0.7452  -0.08
Pd 0.1192 0.1192 0.2548  -0.08
Pd 0.1192 0.1192 0.7452  -0.08


16.
Material: K5Cd2Hg2
Method: DFT, PBE-GGA
State: optimized geometry

Properties
DFT total energy   -0.98 eV per atom
Mass density   3.44 g cm⁻³
Density of states at the Fermi level   0.685 states/eV/atom
Energy of formation from the pure elements   -0.1006 eV per atom

a = 7.4424 Å, b = 10.9661 Å, c = 11.7642 Å
α = 117.75°, β = 108.59°, γ = 90.06°
Fractional positions:
K 0.3727 0.7816 0.1428
K 0.2291 0.2178 0.8569
K 0.8727 0.8611 0.1431
K 0.7291 0.1389 0.8566
K 0.8294 0.7187 0.7140
K 0.1158 0.2818 0.2865
K 0.3289 0.4954 0.7139
K 0.6164 0.5048 0.2865
K 0.2313 0.7835 0.4996
K 0.7288 0.2159 0.4996
Cd 0.4265 0.8703 0.8605
Cd 0.5675 0.1301 0.1389
Cd 0.9266 0.4905 0.8605
Cd 0.0671 0.5088 0.1389
Hg 0.1458 0.0003 0.0009
Hg 0.6455 0.5001 0.0003
Hg 0.7500 0.8917 0.5002
Hg 0.2450 0.1087 0.5005


17.
Material: NaLi2La
Method: DFT, PBE-GGA
State: optimized geometry

Properties
DFT total energy   -2.34 eV per atom
Mass density   2.47 g cm⁻³
Polymorph energy (0 for the lowest one)   73 meV per atom
Density of states at the Fermi level   0.765 states/eV/atom
Energy of formation from the pure elements   0.1755 eV per atom

a = 3.3413 Å, b = 3.3413 Å, c = 12.3576 Å
α = 82.23°, β = 82.23°, γ = 60.00°
Fractional positions:
Na 0.5000 0.5000 0.5000
Li 0.0873 0.0873 0.7380
Li 0.9127 0.9127 0.2620
La 0.0000 0.0000 0.0000


18.
Material: CaTbDy14
Method: DFT, PBE-GGA
State: optimized geometry

Properties
DFT total energy   -4.41 eV per atom
Mass density   7.95 g cm⁻³
Density of states at the Fermi level   1.604 states/eV/atom
Energy of formation from the pure elements   0.0277 eV per atom

a = 7.2664 Å, b = 7.2664 Å, c = 11.3013 Å
α = 90.00°, β = 90.00°, γ = 120.01°
Fractional positions:
Ca 0.6665 0.3335 0.0000
Tb 0.1672 0.8328 0.0000
Dy 0.6668 0.3332 0.5000
Dy 0.1666 0.8334 0.5000
Dy 0.1673 0.3347 0.0000
Dy 0.1667 0.3333 0.5000
Dy 0.6653 0.8327 0.0000
Dy 0.6667 0.8333 0.5000
Dy 0.3291 0.1645 0.7462
Dy 0.3291 0.1645 0.2538
Dy 0.8355 0.6709 0.7462
Dy 0.8355 0.6709 0.2538
Dy 0.8355 0.1645 0.7464
Dy 0.8355 0.1645 0.2536
Dy 0.3334 0.6666 0.7521
Dy 0.3334 0.6666 0.2479


19.
Material: PmTaGa2
Method: DFT, PBE-GGA
State: optimized geometry

Properties
DFT total energy   -5.68 eV per atom
Mass density   9.44 g cm⁻³
Polymorph energy (0 for the lowest one)   213 meV per atom
Density of states at the Fermi level   0.902 states/eV/atom
Energy of formation from the pure elements   -0.0141 eV per atom

a = 3.1216 Å, b = 3.1216 Å, c = 9.8695 Å
α = 80.90°, β = 80.90°, γ = 60.00°
Fractional positions:
Pm 0.5000 0.5000 0.5000
Ga 0.7424 0.7424 0.7729
Ga 0.2576 0.2576 0.2271
Ta 0.0000 0.0000 0.0000


20.
Material: Pm2H2SI
Method: DFT, PBE-GGA
State: optimized geometry

Properties
DFT total energy   -4.85 eV per atom
Mass density   6.41 g cm⁻³
Density of states at the Fermi level   0.317 states/eV/atom

a = 3.9478 Å, b = 3.9478 Å, c = 8.6535 Å
α = 90.00°, β = 90.00°, γ = 120.00°
Fractional positions:
Pm 0.3333 0.6667 0.7001
Pm 0.6667 0.3333 0.2999
H 0.3333 0.6667 0.2628
H 0.6667 0.3333 0.7372
S 0.0000 0.0000 0.5000
I 0.0000 0.0000 0.0000